No. 1
A plane-wave DFT calculation with PBE was carried out for a geometry-optimized Hf2VPBr structure.

For the total energy, the calculation gives -34.8 eV for the cell shown. The value obtained for the density of states at the Fermi level is 5.894 states/eV/f.u. The calculation puts the magnetic moment at 0.7 μB/f.u.

a = 4.9625 Å, b = 4.9625 Å, c = 4.3248 Å
α = 90.00°, β = 90.00°, γ = 90.00°
With the nearest neighbours (Å) after each atom.
Space group P4/mmm (No. 123)
One atom of each set of equivalent atoms:
1 Hf 0.0000 0.5000 0.0000  2 P 2.48
2 V 0.0000 0.0000 0.5000  2 P 2.16
3 P 0.0000 0.0000 0.0000  2 V 2.16
4 Br 0.5000 0.5000 0.5000  8 Hf 3.29, 4 V 3.51



No. 2
A plane-wave DFT calculation with PBE was carried out for a geometry-optimized RbTiTe2 structure.

For the total energy, the calculation gives -73.1 eV for the cell shown. The value obtained for the density of states at the Fermi level is 0.153 states/eV/f.u. The calculation puts the magnetic moment at 1.0 μB/f.u.

a = 7.4989 Å, b = 7.5983 Å, c = 12.8183 Å
α = 90.00°, β = 115.33°, γ = 90.00°
With the nearest neighbours (Å) after each atom.
Space group P2/c (No. 13)
One atom of each set of equivalent atoms:
1 Rb 0.1080 0.1871 0.1274  6 Te 3.66-4.02
2 Ti 0.4935 0.4150 0.8735  4 Te 2.69-2.71
3 Te 0.1938 0.3328 0.6702  2 Ti 2.69-2.71
4 Te 0.4586 0.2481 0.4303  2 Ti 2.70



No. 3
A plane-wave DFT calculation with PBE was carried out for a geometry-optimized NpCu3P3 structure.

Its relative energy among the computed polymorphs is 0.0 meV/atom. The value obtained for the density of states at the Fermi level is 10.412 states/eV/f.u. The calculation puts the magnetic moment at 2.7 μB/f.u.

a = 6.6439 Å, b = 6.6439 Å, c = 19.0115 Å
α = 90.00°, β = 90.00°, γ = 120.00°
With the nearest neighbours (Å) after each atom.
Space group R-3 (No. 148, hexagonal axes)
One atom of each set of equivalent atoms:
1 Np 0.0000 0.0000 0.1668  6 P 2.72-2.73
2 Cu 0.0018 0.6718 0.3757  4 P 2.34-2.37
3 P 0.0018 0.6647 0.5844  4 Cu 2.34-2.37



No. 4
A plane-wave DFT calculation with PBE was carried out for a geometry-optimized Pr8CuRh3I4 structure.

For the total energy, the calculation gives -167.9 eV for the cell shown. The value obtained for the density of states at the Fermi level is 9.303 states/eV/f.u. The calculation puts the magnetic moment at 0.0 μB/f.u.

a = 14.6648 Å, b = 8.4665 Å, c = 9.5416 Å
α = 90.00°, β = 120.82°, γ = 90.00°
With the nearest neighbours (Å) after each atom.
Space group C2/m (No. 12)
One atom of each set of equivalent atoms:
1 Pr 0.0228 0.2452 0.3145  2 Rh 2.86, 1 Cu 2.92
2 Pr 0.2298 0.0000 0.6881  3 Rh 2.89-2.90
3 Pr 0.2316 0.5000 0.6855  2 Rh 2.86, 1 Cu 2.92
4 Cu 0.0000 0.5000 0.5000  6 Pr 2.92
5 Rh 0.0000 0.0000 0.5000  6 Pr 2.86-2.90
6 Rh 0.2500 0.2500 0.5000  6 Pr 2.86-2.89
7 I 0.0000 0.0000 0.0000  6 Pr 3.52
8 I 0.0000 0.5000 0.0000  6 Pr 3.53-3.57
9 I 0.2500 0.2500 0.0000  6 Pr 3.54-3.57



No. 5
A plane-wave DFT calculation with PBE was carried out for a geometry-optimized ZnSO6 structure.

For the total energy, the calculation gives -76.7 eV for the cell shown. The calculation puts the magnetic moment at 0.0 μB/f.u.

a = 6.9621 Å, b = 5.5718 Å, c = 4.9025 Å
α = 90.00°, β = 120.50°, γ = 90.00°
With the nearest neighbours (Å) after each atom.
Space group C2/m (No. 12)
One atom of each set of equivalent atoms:
1 Zn 0.0000 0.0000 0.0000  2 O 1.96
2 S 0.0000 0.5000 0.5000  2 O 1.52
3 O 0.1307 0.2729 0.3803  1 O 1.49
4 O 0.1805 0.5000 0.8481  1 S 1.52



No. 6
A plane-wave DFT calculation with PBE was carried out for a geometry-optimized AcSnGe structure.

Its relative energy among the computed polymorphs is 241.3 meV/atom. The value obtained for the density of states at the Fermi level is 3.147 states/eV/f.u. The calculation puts the magnetic moment at 0.0 μB/f.u.

a = 7.2966 Å, b = 7.2966 Å, c = 7.2966 Å
α = 90.00°, β = 90.00°, γ = 90.00°
With the nearest neighbours (Å) after each atom.
Space group F-43m (No. 216)
One atom of each set of equivalent atoms:
1 Ac 0.0000 0.0000 0.0000  4 Ge 3.16
2 Sn 0.0000 0.0000 0.5000  4 Ge 3.16
3 Ge 0.2500 0.2500 0.2500  4 Ac 3.16, 4 Sn 3.16



No. 7
A plane-wave DFT calculation with PBE was carried out for a geometry-optimized Mg2NbN structure.

For the total energy, the calculation gives -84.5 eV for the cell shown. The value obtained for the density of states at the Fermi level is 3.494 states/eV/f.u. The calculation puts the magnetic moment at 0.0 μB/f.u.

a = 7.7910 Å, b = 7.7910 Å, c = 4.2813 Å
α = 90.00°, β = 90.00°, γ = 90.00°
With the nearest neighbours (Å) after each atom.
Space group I-42d (No. 122)
One atom of each set of equivalent atoms:
1 Mg 0.1355 0.2500 0.1250  2 N 2.28
2 Nb 0.0000 0.0000 0.5000  2 N 2.14
3 N 0.0000 0.0000 0.0000  2 Nb 2.14, 4 Mg 2.28



No. 8
A plane-wave DFT calculation with PBE was carried out for a geometry-optimized SrTlRe2 structure.

Its relative energy among the computed polymorphs is 377.3 meV/atom. The value obtained for the density of states at the Fermi level is 3.204 states/eV/f.u. The calculation puts the magnetic moment at 0.0 μB/f.u.

a = 10.1726 Å, b = 3.7962 Å, c = 5.6610 Å
α = 90.00°, β = 108.74°, γ = 90.00°
With the nearest neighbours (Å) after each atom.
Space group C2/m (No. 12)
One atom of each set of equivalent atoms:
1 Sr 0.0000 0.0000 0.0000  4 Tl 3.41, 8 Re 3.42-3.73, 2 Sr 3.80
2 Tl 0.0000 0.5000 0.5000  6 Re 2.95-2.98
3 Re 0.2378 0.0000 0.6179  2 Re 2.38



No. 9
A plane-wave DFT calculation with PBE was carried out for a geometry-optimized PmTmCo2Ge2 structure.

For the total energy, the calculation gives -36.2 eV for the cell shown. The value obtained for the density of states at the Fermi level is 5.321 states/eV/f.u. The calculation puts the magnetic moment at 0.0 μB/f.u.

a = 4.2094 Å, b = 4.2094 Å, c = 7.1834 Å
α = 90.00°, β = 90.00°, γ = 120.00°
With the nearest neighbours (Å) after each atom.
Space group P-3m1 (No. 164)
One atom of each set of equivalent atoms:
1 Pm 0.0000 0.0000 0.0000  6 Ge 3.12, 6 Co 3.18
2 Tm 0.0000 0.0000 0.5000  6 Co 2.87, 6 Ge 2.93
3 Co 0.3333 0.6667 0.7137  3 Ge 2.43
4 Ge 0.3333 0.6667 0.2722  3 Co 2.43



No. 10
A plane-wave DFT calculation with PBE was carried out for a geometry-optimized GdPaOs structure.

Its relative energy among the computed polymorphs is 0.0 meV/atom. The value obtained for the density of states at the Fermi level is 2.839 states/eV/f.u. The calculation puts the magnetic moment at 7.1 μB/f.u.

a = 3.5409 Å, b = 3.5409 Å, c = 10.9971 Å
α = 90.00°, β = 90.00°, γ = 90.00°
With the nearest neighbours (Å) after each atom.
Space group I4mm (No. 107)
One atom of each set of equivalent atoms:
1 Gd 0.0000 0.0000 0.0000  5 Os 3.23-3.45, 5 Pa 3.29-3.34, 4 Gd 3.54
2 Pa 0.0000 0.0000 0.2992  4 Os 2.79
3 Os 0.0000 0.0000 0.6863  4 Pa 2.79



No. 11
A plane-wave DFT calculation with PBE was carried out for a geometry-optimized Ti2FeRh structure.

For the total energy, the calculation gives -127.2 eV for the cell shown. The value obtained for the density of states at the Fermi level is 2.143 states/eV/f.u. The calculation puts the magnetic moment at 0.0 μB/f.u.

a = 6.5673 Å, b = 6.5673 Å, c = 5.5159 Å
α = 90.00°, β = 90.00°, γ = 90.00°
With the nearest neighbours (Å) after each atom.
Space group I-42d (No. 122)
One atom of each set of equivalent atoms:
1 Ti 0.2305 0.2500 0.1250  2 Fe 2.34, 2 Rh 2.51
2 Fe 0.0000 0.0000 0.0000  4 Ti 2.34
3 Rh 0.0000 0.0000 0.5000  4 Ti 2.51, 2 Fe 2.76